Entry 1:
ScH3Rh | PBE | relaxed

Structure (extended XYZ):
```
20
Lattice="-3.2250 1.3944 5.3265 -4.2582 4.7523 -0.0001 -6.2346 -1.3024 0.3883" Properties=species:S:1:pos:R:3 pbc="T T T"
Sc -3.8438 2.9817 0.7143
Sc -1.7147 0.6055 0.7143
Sc -3.3272 1.3027 3.3776
Sc -4.8320 -0.0457 0.9085
H -11.4022 2.6351 5.5099
H -11.8447 4.0734 3.2285
H -5.7450 3.4201 1.6335
H -7.9727 1.4241 4.0812
H -7.1263 4.0173 3.9148
H -10.5557 5.2284 5.3435
H -10.0209 2.0379 3.2285
H -6.5915 0.8269 1.7998
H -8.7319 3.1930 5.3436
H -9.1744 4.6312 3.0622
H -5.3025 1.9819 3.9149
H -8.4153 2.8623 1.7998
Rh -8.5736 3.0276 3.5717
Rh -5.4563 3.6789 3.3775
Rh -6.9611 2.3305 0.9084
Rh -6.4445 0.6515 3.5717
```

Calculated values
Uncorrected energy ... -5.041 eV/atom
Space-group type ... Fd-3m

Entry 2:
ScH3Rh | PBE | relaxed

Structure (extended XYZ):
```
20
Lattice="15.6102 0.0000 -1.4064 0.0000 4.9310 0.0000 -5.5191 0.0000 2.7961" Properties=species:S:1:pos:R:3 pbc="T T T"
H 12.2723 1.6022 -0.0948
H 6.3618 3.6938 0.8874
H 10.5166 0.0216 -0.3289
H 1.7077 0.8633 2.0064
H 8.3834 4.0677 -0.6166
H 8.7748 1.2283 1.1973
H 1.3163 3.7027 0.1925
H 3.7292 1.2372 0.5024
H -0.0481 2.4439 1.7724
H -0.4256 4.9094 1.7186
H 10.1391 2.4871 -0.3826
H -2.1813 3.3288 1.4846
Sc 3.9512 3.6940 0.5477
Sc 6.1398 1.2370 0.8421
Sc 8.9967 3.7025 1.2426
Sc 1.0943 1.2285 0.1472
Rh -1.5951 1.4935 1.5420
Rh 8.9696 0.9720 -0.5592
Rh 1.1214 3.9590 1.9490
Rh 11.6861 3.4375 -0.1522
```

Calculated values
Uncorrected energy ... -5.189 eV/atom
Space-group type ... P2_1/c

Entry 3:
ScH12Rh4 | PBE | relaxed

Structure (extended XYZ):
```
17
Lattice="-4.3109 -1.7221 3.1723 2.3444 -4.4331 -2.5424 3.8237 2.5349 3.2505" Properties=species:S:1:pos:R:3 pbc="T T T"
H -0.0023 -3.1736 2.4393
H -0.5268 -0.9091 2.1518
H -0.7056 -0.6107 4.5097
H 1.3107 -1.3128 3.5469
H 4.1240 -1.1435 1.7010
H -0.1754 -4.5671 0.5647
H 1.8595 -0.4466 1.4411
H 2.0327 0.9469 3.3156
H 0.5465 -2.3074 0.3335
H -2.2667 -2.4768 2.1793
H 2.3840 -2.7111 1.7286
H 2.5629 -3.0096 -0.6294
Rh 1.9119 1.2675 1.6252
Rh 0.9286 -1.8101 1.9402
Rh -2.1554 -0.8610 1.5861
Rh 1.1722 -2.2166 -1.2712
Sc 0.0000 0.0000 0.0000
```

Calculated values
Uncorrected energy ... -4.602 eV/atom
Space-group type ... Im-3

Entry 4:
ScHRh | PBE | relaxed

Structure (extended XYZ):
```
12
Lattice="6.2501 0.0000 0.0000 -3.1251 5.3612 0.0000 0.0000 0.0000 4.5270" Properties=species:S:1:pos:R:3 pbc="T T T"
Sc 3.1251 3.9857 1.1320
Sc 0.0000 1.3755 3.3950
Sc 3.1251 1.3755 3.3955
Sc 0.0000 3.9857 1.1315
Rh 1.5625 1.0144 1.1317
Rh 1.5625 4.3469 3.3952
Rh 4.6876 1.0144 1.1317
Rh -1.5625 4.3469 3.3952
H 3.1251 3.4983 3.3964
H 0.0000 3.4983 3.3941
H 3.1251 1.8629 1.1329
H 0.0000 1.8629 1.1306
```

Calculated values
Excess energy over the best structure of this formula in the dataset ... 0.0 meV/atom
Uncorrected energy ... -6.359 eV/atom
Space-group type ... Pmma

Entry 5:
ScH3Rh | PBE | relaxed

Structure (extended XYZ):
```
5
Lattice="2.9333 0.0000 0.0000 0.0000 1.9510 -4.6281 0.0000 1.9510 4.6281" Properties=species:S:1:pos:R:3 pbc="T T T"
H 0.0000 1.9510 2.3276
H 1.4667 2.9436 0.7980
H 1.4667 0.9585 0.7980
Rh 0.0000 1.9510 0.5626
Sc 1.4667 1.9510 3.5846
```

Calculated values
Uncorrected energy ... -5.004 eV/atom
Space-group type ... Amm2

Entry 6:
Sc3HRh | PBE | relaxed

Structure (extended XYZ):
```
5
Lattice="-1.0779 -4.1680 0.4149 1.5469 0.0020 4.0390 -3.8925 1.1550 1.4902" Properties=species:S:1:pos:R:3 pbc="T T T"
Rh -1.7117 -1.5055 2.9721
Sc -0.5389 -2.0840 0.2074
Sc 0.7735 0.0010 2.0195
Sc -1.9463 0.5775 0.7451
H 0.0000 0.0000 0.0000
```

Calculated values
Excess energy over the best structure of this formula in the dataset ... 66.1 meV/atom
Uncorrected energy ... -6.346 eV/atom
Space-group type ... Pm-3m

Entry 7:
ScH3Rh | PBE | relaxed

Structure (extended XYZ):
```
10
Lattice="-2.6446 1.2234 2.2472 0.7842 -3.4927 2.8246 4.9248 2.3303 1.5142" Properties=species:S:1:pos:R:3 pbc="T T T"
H -1.4333 0.2624 2.2669
H 0.9345 -1.5622 3.0343
H 0.6624 -1.1621 5.5090
H 4.1692 0.3852 2.7679
H 3.0751 -0.3084 4.8709
H 1.5383 0.5030 2.6204
Sc -0.0803 0.2258 3.8791
Sc 4.9391 -1.1245 4.4961
Rh 2.8240 1.0325 3.8454
Rh 1.9873 -1.7176 4.3577
```

Calculated values
Uncorrected energy ... -5.280 eV/atom
Space-group type ... Cmc2_1

Entry 8:
ScH2Rh2 | PBE | relaxed

Structure (extended XYZ):
```
10
Lattice="-3.4906 -1.0160 -4.8939 -4.5052 -1.9454 3.6173 -1.0846 2.8500 0.1819" Properties=species:S:1:pos:R:3 pbc="T T T"
Sc -3.9979 -1.4807 -0.6383
Sc 0.0000 0.0000 0.0000
Rh -4.0063 0.0036 1.7062
Rh -5.0742 -0.1150 -2.8008
Rh -6.6391 -0.8876 -0.0281
Rh -2.4413 0.7762 -1.0665
H -3.7176 -1.2385 -2.7618
H -2.0023 -0.7435 -0.2908
H -4.2782 -1.7230 1.4853
H -5.9935 -2.2180 -0.9858
```

Calculated values
Excess energy over the best structure of this formula in the dataset ... 59.3 meV/atom
Uncorrected energy ... -5.899 eV/atom
Space-group type ... P4/mbm

> The lowest uncorrected energy belongs to which entry?

ScHRh